Computed, not measured: an optimized crystal structure of HfNi2Pb2 at the PBE level of DFT.

Output
Uncorrected energy, eV/atom: -5.699
Mass density, g/cm3: 12.31

Cell: 6.840 6.840 4.096 Å, 90.00 90.00 90.00°
Space group P4/mbm (No. 127)
Symmetry-distinct sites (fractional):
Hf  0.000  0.000  0.000
Ni  0.125  0.375  0.000
Pb  0.178  0.678  0.500